# Sr2HgIr

An optimized crystal structure of Sr2HgIr (PBE, Alexandria).

Values from the calculation:
- Size of the total moment: 0.11 μB per atom
- DFT formation energy: 0.033 eV per atom
- Crystal system: tetragonal

a = 3.760 Å, b = 3.760 Å, c = 8.736 Å
α = 90.00°, β = 90.00°, γ = 90.00°
Fractional positions:
Sr1 0.000 0.000 0.000
Sr2 0.500 0.500 0.432
Hg1 0.000 0.000 0.646
Ir1 0.500 0.500 0.789